(1)
Material: NiIr2Pd2
Method: DFT, PBE
State: optimized geometry

a = 6.2316 Å, b = 6.2316 Å, c = 4.0123 Å
α = 90.00°, β = 90.00°, γ = 90.00°
Atoms (fractional coordinates):
Pd (0.8372, 0.3372, 0.5000)
Pd (0.1628, 0.6628, 0.5000)
Pd (0.6628, 0.8372, 0.5000)
Pd (0.3372, 0.1628, 0.5000)
Ir (0.8619, 0.6381, 0.0000)
Ir (0.1381, 0.3619, 0.0000)
Ir (0.3619, 0.8619, 0.0000)
Ir (0.6381, 0.1381, 0.0000)
Ni (0.5000, 0.5000, 0.0000)
Ni (0.0000, 0.0000, 0.0000)

## Properties
Calculated total energy (eV per atom): -6.36
Formation energy from the elements (eV per atom): 0.42
Magnetization (μB/atom): 0.00
E above lowest polymorph (meV/atom): 0

---

(2)
Material: NiIr2Pd
Method: DFT, PBE
State: optimized geometry

a = 7.0020 Å, b = 7.0020 Å, c = 5.5446 Å
α = 50.84°, β = 50.84°, γ = 90.00°
Atoms (fractional coordinates):
Ni (0.5000, 0.5000, 0.0000)
Ni (0.2500, 0.7500, 0.5000)
Ir (0.1687, 0.6250, 0.2500)
Ir (0.5813, 0.1250, 0.2500)
Ir (0.3750, 0.4187, 0.7500)
Ir (0.8750, 0.8313, 0.7500)
Pd (0.7500, 0.2500, 0.5000)
Pd (0.0000, 0.0000, 0.0000)

## Properties
Calculated total energy (eV per atom): -6.57
Formation energy from the elements (eV per atom): 0.60
Magnetization (μB/atom): 0.00
E above lowest polymorph (meV/atom): 534

---

(3)
Material: Ni2IrPd2
Method: DFT, PBE
State: optimized geometry

a = 7.1761 Å, b = 7.1761 Å, c = 2.7313 Å
α = 90.00°, β = 90.00°, γ = 90.00°
Site moments in Bohr magnetons follow the coordinates.
Atoms (fractional coordinates):
Ni (0.1668, 0.6668, 0.5000)  0.80
Ni (0.3332, 0.1668, 0.5000)  0.77
Ni (0.6668, 0.8332, 0.5000)  0.77
Ni (0.8332, 0.3332, 0.5000)  0.80
Pd (0.1328, 0.3672, 0.0000)  0.28
Pd (0.8672, 0.6328, 0.0000)  0.28
Pd (0.3672, 0.8672, 0.0000)  0.29
Pd (0.6328, 0.1328, 0.0000)  0.29
Ir (0.5000, 0.5000, 0.0000)  0.99
Ir (0.0000, 0.0000, 0.0000)  0.99

## Properties
Calculated total energy (eV per atom): -5.79
Formation energy from the elements (eV per atom): 0.37
Magnetization (μB/atom): 0.61
E above lowest polymorph (meV/atom): 74

---

(4)
Material: Ni6IrPd2
Method: DFT, PBE
State: optimized geometry

a = 5.8383 Å, b = 4.8299 Å, c = 4.8299 Å
α = 60.00°, β = 89.90°, γ = 89.90°
Site moments in Bohr magnetons follow the coordinates.
Atoms (fractional coordinates):
Ni (0.3363, 0.8278, 0.3439)  0.67
Ni (0.6637, 0.1722, 0.6561)  0.67
Ni (0.6637, 0.6561, 0.1722)  0.67
Ni (0.6627, 0.1721, 0.1721)  0.67
Ni (0.3363, 0.3439, 0.8278)  0.67
Ni (0.3373, 0.8279, 0.8279)  0.67
Pd (0.0889, 0.3333, 0.3333)  0.21
Pd (0.9111, 0.6667, 0.6667)  0.21
Ir (0.0000, 0.0000, 0.0000)  0.76

## Properties
Calculated total energy (eV per atom): -5.77
Formation energy from the elements (eV per atom): 0.22
Magnetization (μB/atom): 0.56
E above lowest polymorph (meV/atom): 115

---

(5)
Material: Ni6IrPd2
Method: DFT, PBE
State: optimized geometry

a = 4.4460 Å, b = 7.3697 Å, c = 7.3702 Å
α = 72.37°, β = 82.14°, γ = 82.14°
Site moments in Bohr magnetons follow the coordinates.
Atoms (fractional coordinates):
Pd (0.5786, 0.4526, 0.2091)  0.27
Pd (0.9214, 0.7909, 0.5474)  0.27
Pd (0.4214, 0.5474, 0.7909)  0.27
Pd (0.0786, 0.2091, 0.4526)  0.27
Ni (0.8679, 0.6554, 0.9113)  0.74
Ni (0.2993, 0.7708, 0.0124)  0.68
Ni (0.5289, 0.3195, 0.5754)  0.72
Ni (0.0289, 0.5754, 0.3195)  0.72
Ni (0.7993, 0.0124, 0.7708)  0.68
Ni (0.7007, 0.2292, 0.9876)  0.68
Ni (0.4711, 0.6805, 0.4246)  0.72
Ni (0.9711, 0.4246, 0.6805)  0.72
Ni (0.2007, 0.9876, 0.2292)  0.68
Ni (0.3679, 0.9113, 0.6554)  0.74
Ni (0.1321, 0.3446, 0.0887)  0.74
Ni (0.6321, 0.0887, 0.3446)  0.74
Ir (0.7500, 0.8713, 0.1287)  0.77
Ir (0.2500, 0.1287, 0.8713)  0.77

## Properties
Calculated total energy (eV per atom): -5.89
Formation energy from the elements (eV per atom): 0.11
Magnetization (μB/atom): 0.60
E above lowest polymorph (meV/atom): 0

---

(6)
Material: Ni3IrPd
Method: DFT, PBE
State: optimized geometry

a = 4.4797 Å, b = 4.4797 Å, c = 4.4797 Å
α = 90.00°, β = 90.00°, γ = 90.00°
Site moments in Bohr magnetons follow the coordinates.
Atoms (fractional coordinates):
Ni (0.5000, 0.0000, 0.0000)  0.28
Ni (0.0000, 0.5000, 0.0000)  0.54
Ni (0.0000, 0.0000, 0.5000)  0.84
Pd (0.5000, 0.5000, 0.5000)  0.03
Ir (0.0000, 0.0000, 0.0000)  0.57

## Properties
Calculated total energy (eV per atom): -5.02
Formation energy from the elements (eV per atom): 1.26
Magnetization (μB/atom): 0.45
E above lowest polymorph (meV/atom): 1029

---

(7)
Material: NiIrPd2
Method: DFT, PBE
State: optimized geometry

a = 2.7395 Å, b = 2.7395 Å, c = 8.8901 Å
α = 81.14°, β = 81.14°, γ = 60.00°
Site moments in Bohr magnetons follow the coordinates.
Atoms (fractional coordinates):
Pd (0.2532, 0.2532, 0.2403)  0.13
Pd (0.0800, 0.0800, 0.7599)  0.13
Ir (0.4996, 0.4996, 0.5013)  0.11
Ni (0.6672, 0.6672, 0.9985)  0.78

## Properties
Calculated total energy (eV per atom): -6.12
Formation energy from the elements (eV per atom): 0.13
Magnetization (μB/atom): 0.28
E above lowest polymorph (meV/atom): 0

---

(8)
Material: NiIrPd3
Method: DFT, PBE
State: optimized geometry

a = 4.4526 Å, b = 4.4526 Å, c = 4.4526 Å
α = 90.00°, β = 90.00°, γ = 90.00°
Site moments in Bohr magnetons follow the coordinates.
Atoms (fractional coordinates):
Pd (0.5000, 0.0000, 0.0000)  0.01
Pd (0.0000, 0.5000, 0.0000)  0.02
Pd (0.0000, 0.0000, 0.5000)  0.02
Ni (0.0000, 0.0000, 0.0000)  0.09
Ir (0.5000, 0.5000, 0.5000)  0.01

## Properties
Calculated total energy (eV per atom): -4.81
Formation energy from the elements (eV per atom): 1.24
Magnetization (μB/atom): 0.03
E above lowest polymorph (meV/atom): 0